LiFe2Si | GGA-PBE | relaxed

The structure in extended XYZ format:
```
4
Lattice="4.405 -0.003 -0.006 3.674 2.430 -0.006 0.690 0.207 4.274" Properties=species:S:1:pos:R:3 pbc="T T T"
Fe 8.046 2.418 0.041
Fe 6.536 1.964 3.169
Si 2.236 0.672 1.012
Li 4.414 1.326 2.161
```

Theoretical density, kg/m³: 5318
Formation energy (no corrections), eV per formula unit: -0.278
VASP energy, eV/f.u.: -24.54
Volume, Å³/cell: 46
Crystal system: monoclinic